{"formula": "K2CoF", "functional": "GGA-PBEsol", "state": "relaxed", "m_tot_mub_per_fu": 2.000, "energy_ev_per_atom": -3.14, "raw_formation_energy_mev_per_atom": -153, "space_group": "Fm-3m, No. 225", "cell": [[0.000, 3.740, 3.740], [3.740, 0.000, 3.740], [3.740, 3.740, 0.000]], "species": ["K", "K", "Co", "F"], "frac_coords": [[0.250, 0.250, 0.250], [0.750, 0.750, 0.750], [0.000, 0.000, 0.000], [0.500, 0.500, 0.500]]}

---

{"formula": "KCoF3", "functional": "GGA-PBEsol", "state": "relaxed", "m_tot_mub_per_fu": 3.001, "energy_ev_per_atom": -5.08, "dos_at_fermi_per_ev_atom": 1.08, "raw_formation_energy_mev_per_atom": -2150, "space_group": "Pm-3m, No. 221", "cell": [[4.024, 0.000, 0.000], [0.000, 4.024, 0.000], [0.000, 0.000, 4.024]], "species": ["K", "Co", "F", "F", "F"], "frac_coords": [[0.000, 0.000, 0.000], [0.500, 0.500, 0.500], [0.000, 0.500, 0.500], [0.500, 0.000, 0.500], [0.500, 0.500, 0.000]]}

---

What did the second record say?
{"formula": "KCoF3", "functional": "GGA-PBEsol", "state": "relaxed", "m_tot_mub_per_fu": 3.001, "energy_ev_per_atom": -5.08, "dos_at_fermi_per_ev_atom": 1.08, "raw_formation_energy_mev_per_atom": -2150, "space_group": "Pm-3m, No. 221", "cell": [[4.024, 0.000, 0.000], [0.000, 4.024, 0.000], [0.000, 0.000, 4.024]], "species": ["K", "Co", "F", "F", "F"], "frac_coords": [[0.000, 0.000, 0.000], [0.500, 0.500, 0.500], [0.000, 0.500, 0.500], [0.500, 0.000, 0.500], [0.500, 0.500, 0.000]]}